Entry 1:
ZrTi3Au GGA-PBE optimized geometry; total magnetic moment = 3.10 μB/f.u.; final energy = -31.9 eV per formula unit; ΔH_f (0 K) = 0.727 eV/atom
1.0
4.890 0.000 0.000
0.000 4.890 0.000
0.000 0.000 4.890
Ti Zr Au
3 1 1
Direct
0.000 0.000 0.500 Ti
0.500 0.000 0.000 Ti
0.000 0.500 0.000 Ti
0.500 0.500 0.500 Zr
0.000 0.000 0.000 Au


Entry 2:
YTiTlPt2 GGA-PBE optimized geometry; total magnetic moment = 2.98 μB/f.u.; final energy = -23.9 eV per formula unit; ΔH_f (0 K) = 0.981 eV/atom
1.0
-4.525 1.704 -1.504
0.098 -3.419 -4.167
-2.271 -3.525 2.839
Pt Y Ti Tl
2 1 1 1
Direct
0.500 0.000 0.000 Pt
0.000 0.000 0.500 Pt
0.000 0.500 0.000 Y
0.500 0.500 0.500 Ti
0.000 0.000 0.000 Tl


Entry 3:
CaCdI2O GGA-PBE optimized geometry; total magnetic moment = 0.00 μB/f.u.; final energy = -14.7 eV per formula unit; energy relative to the elements, uncorrected = -3.71 eV/f.u.
1.0
-4.903 2.372 -2.511
-2.933 -5.162 0.852
-1.257 1.327 3.708
Cd O I Ca
1 1 2 1
Direct
0.000 0.000 0.000 Cd
0.000 0.000 0.500 O
0.500 0.000 0.000 I
0.000 0.500 0.000 I
0.500 0.500 0.500 Ca


Entry 4:
Pr3Zn3Ni2 GGA-PBE optimized geometry; total magnetic moment = 0.00 μB/f.u.; final energy = -32.3 eV per formula unit; ΔH_f (0 K) = -0.323 eV/atom
1.0
-4.066 3.783 0.675
-4.916 -5.669 2.165
4.303 1.965 14.914
Zn Ni Pr
12 8 12
Direct
0.601 0.329 0.464 Zn
0.615 0.321 0.750 Zn
0.399 0.671 0.536 Zn
0.115 0.179 0.250 Zn
0.899 0.829 0.464 Zn
0.601 0.329 0.036 Zn
0.885 0.821 0.750 Zn
0.101 0.171 0.964 Zn
0.385 0.679 0.250 Zn
0.399 0.671 0.964 Zn
0.899 0.829 0.036 Zn
0.101 0.171 0.536 Zn
0.121 0.881 0.609 Ni
0.379 0.381 0.609 Ni
0.621 0.619 0.109 Ni
0.121 0.881 0.891 Ni
0.879 0.119 0.391 Ni
0.621 0.619 0.391 Ni
0.379 0.381 0.891 Ni
0.879 0.119 0.109 Ni
0.114 0.465 0.395 Pr
0.624 0.336 0.250 Pr
0.886 0.535 0.605 Pr
0.386 0.965 0.395 Pr
0.124 0.164 0.750 Pr
0.614 0.035 0.895 Pr
0.376 0.664 0.750 Pr
0.114 0.465 0.105 Pr
0.386 0.965 0.105 Pr
0.886 0.535 0.895 Pr
0.614 0.035 0.605 Pr
0.876 0.836 0.250 Pr


Q: Among the records above, which one has the highest final energy?
A: CaCdI2O


Repeat the third record exactly.
CaCdI2O GGA-PBE optimized geometry; total magnetic moment = 0.00 μB/f.u.; final energy = -14.7 eV per formula unit; energy relative to the elements, uncorrected = -3.71 eV/f.u.
1.0
-4.903 2.372 -2.511
-2.933 -5.162 0.852
-1.257 1.327 3.708
Cd O I Ca
1 1 2 1
Direct
0.000 0.000 0.000 Cd
0.000 0.000 0.500 O
0.500 0.000 0.000 I
0.000 0.500 0.000 I
0.500 0.500 0.500 Ca


Q: Which formula does entry 4 have?
A: Pr3Zn3Ni2